Er3Tm2In, optimized geometry, DFT PBE; ΔE_f = -0.165 eV/atom; E above lowest polymorph = 0 kJ/mol of formula units; volume = 172.0 Å³/cell
1.0
4.8080 0.0000 0.0000
0.0000 4.5703 -1.5453
0.0000 0.0895 7.7958
Er Tm In
3 2 1
Direct
0.5000 0.1688 0.3376 Er
0.5000 0.5000 0.0000 Er
0.5000 0.8312 0.6624 Er
0.0000 0.6628 0.3255 Tm
0.0000 0.3372 0.6745 Tm
0.0000 0.0000 0.0000 In

=====

TePt2W, optimized geometry, DFT PBE; ΔE_f (raw) = 1.5 eV per formula unit; volume = 69.8 Å³/cell
1.0
5.5507 0.0020 0.0074
2.6629 4.8703 -0.0074
-3.5188 -3.4275 2.5849
Pt Te W
2 1 1
Direct
0.9995 0.9995 0.0000 Pt
0.5005 0.5005 0.0000 Pt
0.7500 0.2500 0.5000 Te
0.2500 0.7500 0.5000 W

=====

DyPRh2, optimized geometry, DFT PBE; ΔE_f = -0.992 eV/atom; volume = 137.5 Å³/cell
1.0
-2.8477 -1.1578 -2.3315
2.5536 -0.5713 -2.8352
1.2107 -8.7061 2.8447
Dy P Rh
2 2 4
Direct
0.5000 0.0000 0.2165 Dy
0.0000 0.5000 0.7835 Dy
0.5000 0.0000 0.6538 P
0.0000 0.5000 0.3462 P
0.5000 0.0000 0.9009 Rh
0.0000 0.5000 0.0991 Rh
0.0000 0.0000 0.5000 Rh
0.5000 0.5000 0.5000 Rh

=====

K2TaSe, optimized geometry, DFT PBE; ΔE_f (raw) = 2.2 eV per formula unit; volume = 104.5 Å³/cell
1.0
-2.5820 0.8526 -1.3654
-0.0006 -2.9864 -0.5825
-5.7857 -1.9012 9.7535
K Se Ta
2 1 1
Direct
0.0000 0.0000 0.0312 K
0.0000 0.0000 0.4688 K
0.5000 0.5000 0.2500 Se
0.5000 0.5000 0.7500 Ta

=====

CrMo2C, optimized geometry, DFT PBE; ΔE_f = 0.187 eV/atom; volume = 52.4 Å³/cell
1.0
3.0021 0.0000 0.0000
1.5011 2.5999 0.0000
1.5011 0.8666 6.7127
Cr Mo C
1 2 1
Direct
0.5000 0.5000 0.5000 Cr
0.7267 0.7267 0.8198 Mo
0.2733 0.2733 0.1802 Mo
0.0000 0.0000 0.0000 C

=====

CrRhC2, optimized geometry, DFT PBE; ΔE_f = 1.088 eV/atom; E above lowest polymorph = 213 kJ/mol of formula units; volume = 35.7 Å³/cell
1.0
0.0000 2.6137 2.6137
2.6137 0.0000 2.6137
2.6137 2.6137 0.0000
Cr C Rh
1 2 1
Direct
0.0000 0.0000 0.0000 Cr
0.2500 0.2500 0.2500 C
0.7500 0.7500 0.7500 C
0.5000 0.5000 0.5000 Rh

=====

- volume of number 3 (DyPRh2)?
  137.5 Å³/cell